No. 1
Density functional theory data (PBE) for a relaxed structure of SmSb2Rh5.

Unit cell a=6.664 b=6.664 c=6.664 alpha=145.66 beta=114.20 gamma=76.37
Fractional positions:
Sm1 0.000 0.000 0.000
Sb1 0.254 0.754 0.500
Sb2 0.746 0.246 0.500
Rh1 0.171 0.366 0.804
Rh2 0.438 0.634 0.804
Rh3 0.500 0.000 0.500
Rh4 0.562 0.366 0.196
Rh5 0.829 0.634 0.196

* DOS(E_F): 0.89 states/eV per atom
* V: 18.7 Å³/atom
* ΔE_f (raw): -0.479 eV/atom
* crystal system: orthorhombic

No. 2
Density functional theory data (PBE) for a relaxed structure of AcCePN.

Unit cell a=4.252 b=4.252 c=13.355 alpha=90.00 beta=90.00 gamma=120.00
Fractional positions:
Ac1 0.333 0.667 0.000
Ac2 0.667 0.333 0.500
Ce1 0.000 0.000 0.263
Ce2 0.000 0.000 0.763
P1 0.333 0.667 0.656
P2 0.667 0.333 0.156
N1 0.000 0.000 0.422
N2 0.000 0.000 0.922

* DOS(E_F): 1.16 states/eV per atom
* V: 26.1 Å³/atom
* ΔE_f (raw): -1.236 eV/atom
* crystal system: hexagonal

No. 3
Density functional theory data (PBE) for a relaxed structure of Sc6Sb2TeSe3.

Unit cell a=9.016 b=9.016 c=8.077 alpha=103.69 beta=103.69 gamma=25.61
Fractional positions:
Sc1 0.003 0.003 0.227
Sc2 0.325 0.325 0.422
Sc3 0.338 0.338 0.907
Sc4 0.662 0.662 0.093
Sc5 0.675 0.675 0.578
Sc6 0.997 0.997 0.773
Sb1 0.167 0.167 0.833
Sb2 0.833 0.833 0.167
Te1 0.500 0.500 0.500
Se1 0.165 0.165 0.334
Se2 0.500 0.500 0.000
Se3 0.835 0.835 0.666

* DOS(E_F): 0.49 states/eV per atom
* V: 22.9 Å³/atom
* ΔE_f (raw): -1.301 eV/atom
* crystal system: monoclinic